The following is a DFT calculation (GGA-PBE) of crystalline SmTm2Cu3 at its relaxed geometry.

Output
energy relative to the elements = -25 kJ/mol of atoms
M_tot = 0.0 μB per formula unit
E = -4.5810 eV/atom

```
SmTm2Cu3
1.0
3.446 0.000 0.000
0.000 3.446 0.000
0.000 0.000 10.442
Sm Tm Cu
1 2 3
Direct
0.000 0.000 0.000
0.000 0.000 0.338
0.000 0.000 0.662
0.500 0.500 0.181
0.500 0.500 0.500
0.500 0.500 0.819
```

***

The following is a DFT calculation (GGA-PBE) of crystalline SmTmCu2 at its relaxed geometry.

Output
energy relative to the elements = -23 kJ/mol of atoms
M_tot = 0.0 μB per formula unit
E = -4.5833 eV/atom

```
SmTmCu2
1.0
3.461 0.000 0.000
0.000 3.461 0.000
0.000 0.000 7.023
Sm Tm Cu
1 1 2
Direct
0.000 0.000 0.000
0.000 0.000 0.500
0.500 0.500 0.271
0.500 0.500 0.729
```

***

The following is a DFT calculation (GGA-PBE) of crystalline Sm2TmCu at its relaxed geometry.

Output
energy relative to the elements = -3 kJ/mol of atoms
M_tot = 0.0 μB per formula unit
E = -4.5373 eV/atom

```
Sm2TmCu
1.0
2.464 -5.784 0.000
2.464 5.784 0.000
0.000 0.000 7.690
Sm Tm Cu
4 2 2
Direct
0.145 0.855 0.531
0.145 0.855 0.969
0.855 0.145 0.031
0.855 0.145 0.469
0.457 0.543 0.750
0.543 0.457 0.250
0.300 0.700 0.250
0.700 0.300 0.750
```

***

The following is a DFT calculation (GGA-PBE) of crystalline SmTm2Cu at its relaxed geometry.

Output
energy relative to the elements = -11 kJ/mol of atoms
M_tot = 0.0 μB per formula unit
E = -4.5551 eV/atom

```
SmTm2Cu
1.0
3.456 0.000 0.000
0.000 3.456 0.000
0.000 0.000 8.698
Sm Tm Cu
1 2 1
Direct
0.000 0.000 0.000
0.500 0.500 0.307
0.500 0.500 0.693
0.000 0.000 0.500
```